(1)
Compound: TeH2Ru2
Source: the Alexandria database
Functional: PBE
Structure: optimized geometry

Values from the calculation:
* energy above the lowest structure with this stoichiometry: 0 meV per atom
* total moment: 0.78 μB per formula unit

Unit cell a=3.2208 b=3.2208 c=10.8062 alpha=90.00 beta=90.00 gamma=90.00
Sites, in units of the cell vectors:
1 Te 0.0000 0.0000 0.0000
2 Te 0.5000 0.5000 0.5000
3 H 0.0000 0.5000 0.2500
4 H 0.0000 0.5000 0.7500
5 H 0.5000 0.0000 0.2500
6 H 0.5000 0.0000 0.7500
7 Ru 0.0000 0.0000 0.3516
8 Ru 0.0000 0.0000 0.6484
9 Ru 0.5000 0.5000 0.1484
10 Ru 0.5000 0.5000 0.8516


(2)
Compound: Te2HRu
Source: the Alexandria database
Functional: PBE
Structure: optimized geometry

Values from the calculation:
* energy above the lowest structure with this stoichiometry: 800 meV per atom
* total moment: 0.00 μB per formula unit

Unit cell a=3.1857 b=3.1857 c=25.1177 alpha=90.00 beta=90.00 gamma=120.00
Sites, in units of the cell vectors:
1 Te 0.0000 0.0000 0.1009
2 Te 0.0000 0.0000 0.8991
3 Te 0.3333 0.6667 0.5657
4 Te 0.3333 0.6667 0.7676
5 Te 0.6667 0.3333 0.2324
6 Te 0.6667 0.3333 0.4343
7 H 0.0000 0.0000 0.5000
8 H 0.3333 0.6667 0.1667
9 H 0.6667 0.3333 0.8333
10 Ru 0.0000 0.0000 0.0000
11 Ru 0.3333 0.6667 0.6667
12 Ru 0.6667 0.3333 0.3333


Which of these has the lowest energy above the lowest structure with this stoichiometry? TeH2Ru2